No. 1
Density functional theory data (GGA-PBE) for crystalline Ac6DyY at its relaxed geometry.

Geometry as extended XYZ:
```
8
Lattice="2.792 10.505 -3.545 -2.792 10.505 -3.545 0.000 3.059 4.672" Properties=species:S:1:pos:R:3 pbc="T T T"
Ac 0.000 8.407 -2.171
Ac 0.000 16.522 -4.147
Ac 0.000 15.663 -0.246
Ac 0.000 7.548 1.730
Ac 0.000 3.627 0.961
Ac 0.000 20.443 -3.379
Dy 0.000 0.000 0.000
Y 0.000 12.035 -1.209
```

Results
- total moment (μB per formula unit) = 0.000
- formation energy from the elements (meV per atom) = 44
- space-group type = No. 139
- DFT total energy (hartree per atom) = -0.1625



No. 2
Density functional theory data (GGA-PBE) for crystalline AcDy5Y6 at its relaxed geometry.

Geometry as extended XYZ:
```
12
Lattice="-7.715 -8.978 1.189 3.958 -4.801 0.267 2.224 -1.901 5.495" Properties=species:S:1:pos:R:3 pbc="T T T"
Y -2.614 -9.977 4.647
Y 1.080 -5.703 2.304
Y -4.673 -7.740 2.757
Y -0.965 -3.492 0.370
Y 3.139 -7.940 4.195
Y -2.793 -10.287 1.087
Dy -1.879 -6.890 0.728
Dy 0.182 -9.123 2.653
Dy -1.716 -6.557 4.299
Dy 4.121 -4.468 3.842
Dy 2.060 -2.234 1.920
Ac 0.000 0.000 0.000
```

Results
- total moment (μB per formula unit) = 0.000
- formation energy from the elements (meV per atom) = 31
- space-group type = No. 12
- DFT total energy (hartree per atom) = -0.2007



No. 3
Density functional theory data (GGA-PBE) for crystalline Ac2Dy12Y5 at its relaxed geometry.

Geometry as extended XYZ:
```
19
Lattice="-5.394 3.894 -1.110 -1.453 -10.646 -5.929 0.059 4.666 12.335" Properties=species:S:1:pos:R:3 pbc="T T T"
Dy -5.812 -3.073 2.984
Dy -0.976 0.987 2.311
Dy -1.915 1.879 9.551
Dy -1.377 -0.757 7.722
Dy -5.411 -1.328 -2.427
Dy -2.867 0.804 5.096
Dy -1.804 -5.192 1.526
Dy -6.160 0.065 4.918
Dy -4.984 3.106 3.769
Dy -0.628 -2.151 0.377
Dy -4.873 -3.965 -4.255
Dy -3.921 -2.890 0.199
Y -4.409 0.191 1.917
Y -2.380 -2.277 3.379
Y -3.438 3.928 7.104
Y -3.351 -6.014 -1.809
Y 0.029 2.333 6.167
Ac -2.356 5.074 10.803
Ac -4.432 -7.160 -5.508
```

Results
- total moment (μB per formula unit) = 0.000
- formation energy from the elements (meV per atom) = 89
- space-group type = No. 2
- DFT total energy (hartree per atom) = -0.1820



No. 4
Density functional theory data (GGA-PBE) for crystalline AcDyY2 at its relaxed geometry.

Geometry as extended XYZ:
```
4
Lattice="3.614 0.022 1.077 0.856 5.847 3.604 -0.095 0.483 6.904" Properties=species:S:1:pos:R:3 pbc="T T T"
Dy 3.203 4.324 8.959
Y -0.006 0.861 6.594
Y 2.245 3.627 5.591
Ac 1.025 1.198 3.136
```

Results
- total moment (μB per formula unit) = 0.000
- formation energy from the elements (meV per atom) = 47
- space-group type = No. 44
- DFT total energy (hartree per atom) = -0.1971
- excess energy over the best structure of this formula in the dataset (eV/atom) = 0.000



No. 5
Density functional theory data (GGA-PBE) for crystalline Ac2Dy5Y6 at its relaxed geometry.

Geometry as extended XYZ:
```
26
Lattice="-0.304 3.520 0.924 -4.041 2.537 -10.990 -19.143 -3.299 6.277" Properties=species:S:1:pos:R:3 pbc="T T T"
Ac -16.461 -0.706 -2.719
Ac -7.625 1.405 -7.856
Ac -15.559 -2.167 3.143
Ac -6.722 -0.056 -1.994
Dy -19.126 -0.861 4.213
Dy -4.745 1.299 0.710
Dy -13.533 1.719 -3.779
Dy -15.511 0.399 0.599
Dy -18.742 1.459 -4.499
Dy -2.172 3.028 -5.033
Dy -9.723 0.110 3.600
Dy -7.976 2.358 -4.389
Dy -4.361 3.619 -8.002
Dy -9.954 1.038 -0.010
Y -3.702 2.179 -2.299
Y -12.718 0.180 2.350
Y -12.805 -0.779 -1.240
Y -10.378 0.017 -3.473
Y -4.953 1.014 -5.489
Y -7.265 -1.001 1.427
Y -1.685 -0.102 -0.166
Y -10.769 2.577 -6.139
Y -15.918 0.239 -6.140
Y -18.230 -1.776 0.775
Y -19.785 0.579 -1.490
Y -21.498 -0.661 -4.547
```

Results
- total moment (μB per formula unit) = 0.000
- formation energy from the elements (meV per atom) = 117
- space-group type = No. 55
- DFT total energy (hartree per atom) = -0.1936



No. 6
Density functional theory data (GGA-PBE) for crystalline AcDyY2 at its relaxed geometry.

Geometry as extended XYZ:
```
4
Lattice="4.162 0.000 0.000 0.000 4.162 0.000 0.000 0.000 8.191" Properties=species:S:1:pos:R:3 pbc="T T T"
Dy 2.081 2.081 0.000
Ac 2.081 2.081 4.095
Y 0.000 0.000 1.848
Y 0.000 0.000 6.343
```

Results
- total moment (μB per formula unit) = 0.000
- formation energy from the elements (meV per atom) = 100
- space-group type = No. 123
- DFT total energy (hartree per atom) = -0.1951
- excess energy over the best structure of this formula in the dataset (eV/atom) = 0.053



No. 7
Density functional theory data (GGA-PBE) for crystalline Ac3Dy2Y6 at its relaxed geometry.

Geometry as extended XYZ:
```
22
Lattice="0.372 6.496 -2.005 -2.991 4.282 3.548 8.372 9.514 22.985" Properties=species:S:1:pos:R:3 pbc="T T T"
Y 3.339 14.584 14.289
Y -0.138 6.649 1.106
Y 2.559 11.156 14.828
Y 6.122 11.676 20.519
Y 5.435 8.977 13.856
Y 3.194 9.136 9.700
Y -0.065 3.719 3.028
Y 5.891 13.643 23.422
Y 2.414 5.708 10.239
Y 5.818 16.574 21.500
Y -0.369 8.617 4.009
Y 0.318 11.316 10.672
Dy 2.202 8.384 12.829
Dy -2.705 6.054 3.535
Dy 3.550 11.908 11.699
Dy 8.458 14.238 20.993
Ac -0.134 5.906 6.355
Ac 5.886 14.386 18.172
Ac -0.069 10.054 7.328
Ac -0.397 7.693 10.357
Ac 5.822 10.239 17.200
Ac 6.150 12.599 14.170
```

Results
- total moment (μB per formula unit) = 0.000
- formation energy from the elements (meV per atom) = 94
- space-group type = No. 2
- DFT total energy (hartree per atom) = -0.1980



No. 8
Density functional theory data (GGA-PBE) for crystalline Ac4Dy2Y at its relaxed geometry.

Geometry as extended XYZ:
```
14
Lattice="-0.339 -1.808 -7.350 6.325 0.022 4.173 -4.865 -10.534 4.486" Properties=species:S:1:pos:R:3 pbc="T T T"
Y 1.504 -5.967 2.037
Y 2.270 -1.158 -3.088
Dy 1.235 -7.468 -1.488
Dy 5.335 -1.743 -0.848
Dy -2.325 -10.190 4.923
Dy -1.560 -5.381 -0.203
Ac -2.153 -8.623 -1.411
Ac 1.064 -9.035 4.847
Ac 3.313 -4.672 -1.064
Ac 0.787 -9.965 1.018
Ac 0.461 -2.452 0.012
Ac 3.704 -2.415 2.268
Ac -1.877 -7.693 2.418
Ac 0.071 -4.710 -3.320
```

Results
- total moment (μB per formula unit) = 0.000
- formation energy from the elements (meV per atom) = 202
- space-group type = No. 70
- DFT total energy (hartree per atom) = -0.1611